# 1
A plane-wave DFT calculation with PBE was carried out for ZrTa2Cl after structural relaxation. Values from VASP.

Geometry as Quantum ESPRESSO input:
```
&SYSTEM
  ibrav = 0, nat = 4, ntyp = 3
/
ATOMIC_SPECIES
Zr 91.22 Zr.upf
Ta 180.95 Ta.upf
Cl 35.45 Cl.upf
CELL_PARAMETERS angstrom
-1.454 2.466 5.208
1.454 -2.466 5.208
1.454 2.466 -5.208
ATOMIC_POSITIONS angstrom
Zr 0.000 0.000 0.000
Ta 1.454 0.000 2.908
Ta 0.000 2.466 2.300
Cl 0.000 0.000 5.208
```

## Properties
- ΔE to the lowest computed polymorph: 419 meV per atom
- Formation energy from raw total energies: 0.219 eV/atom

=====

# 2
A plane-wave DFT calculation with PBE was carried out for AgMo3Se after structural relaxation. Values from VASP.

Geometry as Quantum ESPRESSO input:
```
&SYSTEM
  ibrav = 0, nat = 5, ntyp = 3
/
ATOMIC_SPECIES
Ag 107.87 Ag.upf
Mo 95.94 Mo.upf
Se 78.96 Se.upf
CELL_PARAMETERS angstrom
4.831 0.000 0.000
0.000 4.831 0.000
0.000 0.000 4.831
ATOMIC_POSITIONS angstrom
Ag 0.000 0.000 0.000
Mo 0.000 0.000 2.416
Mo 0.000 2.416 0.000
Mo 2.416 0.000 0.000
Se 2.416 2.416 2.416
```

## Properties
- ΔE to the lowest computed polymorph: 1250 meV per atom
- Formation energy from raw total energies: 2.453 eV/atom

=====

# 3
A plane-wave DFT calculation with PBE was carried out for Be2S after structural relaxation. Values from VASP.

Geometry as Quantum ESPRESSO input:
```
&SYSTEM
  ibrav = 0, nat = 6, ntyp = 2
/
ATOMIC_SPECIES
Be 9.01 Be.upf
S 32.06 S.upf
CELL_PARAMETERS angstrom
2.877 -4.420 0.000
2.877 4.420 0.000
-2.275 0.000 3.240
ATOMIC_POSITIONS angstrom
Be 0.000 0.000 0.000
Be 4.158 -1.031 1.314
Be 1.477 0.000 2.388
Be 4.158 1.031 1.314
S 0.449 1.499 1.416
S 0.449 -1.499 1.416
```

## Properties
- ΔE to the lowest computed polymorph: 159 meV per atom
- Formation energy from raw total energies: -0.293 eV/atom

=====

# 4
A plane-wave DFT calculation with PBE was carried out for CoCl after structural relaxation. Values from VASP.

Geometry as Quantum ESPRESSO input:
```
&SYSTEM
  ibrav = 0, nat = 12, ntyp = 2
/
ATOMIC_SPECIES
Co 58.93 Co.upf
Cl 35.45 Cl.upf
CELL_PARAMETERS angstrom
10.360 0.000 0.000
0.000 3.893 0.000
0.000 0.000 5.196
ATOMIC_POSITIONS angstrom
Co 0.000 0.759 0.000
Co 2.230 1.513 4.717
Co 2.950 2.380 2.119
Co 5.180 3.134 2.598
Co 7.409 2.380 2.119
Co 8.130 1.513 4.717
Cl 0.000 2.693 4.120
Cl 1.748 0.487 1.606
Cl 3.432 3.405 4.204
Cl 5.180 1.199 1.522
Cl 6.927 3.405 4.204
Cl 8.612 0.487 1.606
```

## Properties
- Formation energy from raw total energies: 0.048 eV/atom

=====

# 5
A plane-wave DFT calculation with PBE was carried out for In5SnSb3Te after structural relaxation. Values from VASP.

Geometry as Quantum ESPRESSO input:
```
&SYSTEM
  ibrav = 0, nat = 10, ntyp = 4
/
ATOMIC_SPECIES
In 114.82 In.upf
Sn 118.71 Sn.upf
Sb 121.76 Sb.upf
Te 127.60 Te.upf
CELL_PARAMETERS angstrom
6.656 0.000 0.000
3.323 7.441 0.000
3.324 0.024 7.460
ATOMIC_POSITIONS angstrom
In 0.000 0.000 0.000
In 3.255 1.558 3.127
In 6.565 3.173 5.996
In 6.688 4.655 1.560
In 9.964 6.041 4.556
Sn 11.578 5.336 6.768
Sb 4.925 6.809 2.303
Sb 5.012 0.862 5.281
Sb 8.292 3.823 3.792
Te 4.974 2.325 0.830
```

## Properties
- Formation energy from raw total energies: -0.125 eV/atom

=====

# 6
A plane-wave DFT calculation with PBE was carried out for KCuBr2 after structural relaxation. Values from VASP.

Geometry as Quantum ESPRESSO input:
```
&SYSTEM
  ibrav = 0, nat = 4, ntyp = 3
/
ATOMIC_SPECIES
K 39.10 K.upf
Cu 63.55 Cu.upf
Br 79.90 Br.upf
CELL_PARAMETERS angstrom
3.653 0.000 0.000
0.000 3.653 0.000
0.000 0.000 7.591
ATOMIC_POSITIONS angstrom
K 0.000 0.000 0.000
Cu 0.000 0.000 3.796
Br 1.826 1.826 2.121
Br 1.826 1.826 5.470
```

## Properties
- ΔE to the lowest computed polymorph: 402 meV per atom
- Formation energy from raw total energies: -0.594 eV/atom

=====

# 7
A plane-wave DFT calculation with PBE was carried out for ZrSc2Ta after structural relaxation. Values from VASP.

Geometry as Quantum ESPRESSO input:
```
&SYSTEM
  ibrav = 0, nat = 4, ntyp = 3
/
ATOMIC_SPECIES
Zr 91.22 Zr.upf
Sc 44.96 Sc.upf
Ta 180.95 Ta.upf
CELL_PARAMETERS angstrom
3.045 0.000 0.000
0.000 3.045 0.000
0.000 0.000 9.629
ATOMIC_POSITIONS angstrom
Zr 0.000 0.000 0.000
Sc 0.000 0.000 5.251
Sc 1.522 1.522 2.556
Ta 1.522 1.522 7.409
```

## Properties
- DFT formation energy: 125 meV/atom

=====

# 8
A plane-wave DFT calculation with PBE was carried out for BC5 after structural relaxation. Values from VASP.

Geometry as Quantum ESPRESSO input:
```
&SYSTEM
  ibrav = 0, nat = 12, ntyp = 2
/
ATOMIC_SPECIES
B 10.81 B.upf
C 12.01 C.upf
CELL_PARAMETERS angstrom
2.234 -3.883 0.000
2.234 3.883 0.000
-1.602 0.000 4.197
ATOMIC_POSITIONS angstrom
B 0.943 0.000 0.339
B 1.924 0.000 3.858
C -0.068 1.309 2.376
C -0.109 1.335 3.920
C 0.637 0.000 1.885
C -0.068 -1.309 2.376
C -0.109 -1.335 3.920
C 2.976 1.335 0.277
C 2.935 1.309 1.822
C 2.229 0.000 2.312
C 2.976 -1.335 0.277
C 2.935 -1.309 1.822
```

## Properties
- ΔE to the lowest computed polymorph: 65 meV per atom
- DFT formation energy: 274 meV/atom

=====

# 9
A plane-wave DFT calculation with PBE was carried out for Cd2CoOs after structural relaxation. Values from VASP.

Geometry as Quantum ESPRESSO input:
```
&SYSTEM
  ibrav = 0, nat = 4, ntyp = 3
/
ATOMIC_SPECIES
Cd 112.41 Cd.upf
Co 58.93 Co.upf
Os 190.23 Os.upf
CELL_PARAMETERS angstrom
-1.530 2.268 4.647
1.530 -2.268 4.647
1.530 2.268 -4.647
ATOMIC_POSITIONS angstrom
Cd 0.000 0.000 2.185
Cd 0.000 0.000 7.110
Co 1.530 0.000 0.000
Os 0.000 2.268 0.000
```

## Properties
- ΔE to the lowest computed polymorph: 320 meV per atom
- DFT formation energy: 594 meV/atom

=====

# 10
A plane-wave DFT calculation with PBE was carried out for LaNiOs2 after structural relaxation. Values from VASP.

Geometry as Quantum ESPRESSO input:
```
&SYSTEM
  ibrav = 0, nat = 4, ntyp = 3
/
ATOMIC_SPECIES
La 138.91 La.upf
Ni 58.69 Ni.upf
Os 190.23 Os.upf
CELL_PARAMETERS angstrom
2.853 0.000 0.000
0.000 3.634 0.000
0.000 0.000 6.884
ATOMIC_POSITIONS angstrom
La 0.000 0.000 0.000
Ni 1.426 1.817 2.017
Os 0.000 0.000 3.401
Os 1.426 1.817 4.556
```

## Properties
- ΔE to the lowest computed polymorph: 309 meV per atom
- DFT formation energy: 229 meV/atom

=====

# 11
A plane-wave DFT calculation with PBE was carried out for DyHo2Ag3S6 after structural relaxation. Values from VASP.

Geometry as Quantum ESPRESSO input:
```
&SYSTEM
  ibrav = 0, nat = 12, ntyp = 4
/
ATOMIC_SPECIES
Dy 162.50 Dy.upf
Ho 164.93 Ho.upf
Ag 107.87 Ag.upf
S 32.06 S.upf
CELL_PARAMETERS angstrom
7.664 -2.032 0.000
7.664 2.032 0.000
-5.730 0.000 10.423
ATOMIC_POSITIONS angstrom
Dy 0.000 0.000 0.000
Ho 1.292 0.000 6.944
Ho 8.306 0.000 3.479
Ag -2.865 0.000 5.211
Ag 4.154 0.000 1.759
Ag 5.444 0.000 8.664
S -0.522 0.000 4.897
S 1.811 0.000 2.066
S 6.494 0.000 1.431
S 3.103 0.000 8.992
S 7.786 0.000 8.357
S 10.120 0.000 5.526
```

## Properties
- Formation energy from raw total energies: -1.311 eV/atom

=====

# 12
A plane-wave DFT calculation with PBE was carried out for Rb4Pr3PaS8 after structural relaxation. Values from VASP.

Geometry as Quantum ESPRESSO input:
```
&SYSTEM
  ibrav = 0, nat = 16, ntyp = 4
/
ATOMIC_SPECIES
Rb 85.47 Rb.upf
Pr 140.91 Pr.upf
Pa 231.04 Pa.upf
S 32.06 S.upf
CELL_PARAMETERS angstrom
4.213 2.432 7.733
-4.213 2.432 7.733
0.000 -4.864 7.733
ATOMIC_POSITIONS angstrom
Rb 0.000 0.000 0.000
Rb -2.106 -1.216 7.733
Rb -2.106 1.216 15.467
Rb 0.000 2.432 7.733
Pr -4.213 0.000 11.600
Pr -2.106 1.216 3.867
Pr 2.106 1.216 3.867
Pa 0.000 0.000 11.600
S 0.000 0.000 5.430
S -2.028 -1.171 13.124
S 0.000 -2.341 10.076
S -2.028 1.171 10.076
S 2.028 -1.171 13.124
S 0.000 2.341 13.124
S 2.028 1.171 10.076
S 0.000 0.000 17.770
```

## Properties
- Formation energy from raw total energies: -1.711 eV/atom